VASP calculation (PBE-GGA) on a relaxed structure of Th4SN3.

a b c (Å): 5.334 5.334 5.334
angles (deg): 90.00 90.00 90.00
Atoms (fractional coordinates):
Th: 0.500 0.000 0.000
Th: 0.000 0.500 0.000
Th: 0.000 0.000 0.500
Th: 0.500 0.500 0.500
S: 0.000 0.000 0.000
N: 0.000 0.500 0.500
N: 0.500 0.000 0.500
N: 0.500 0.500 0.000

Properties
VASP energy: -70.41 eV per cell
formation energy (no corrections): -1.45 eV/atom
space group: Pm-3m, No. 221